w.
YCu2Tc: relaxed, PBE-GGA.

Cell and atoms, written as POSCAR:
```
YCu2Tc
1.0
3.3209 0.0000 0.0000
0.0000 3.3209 0.0000
0.0000 0.0000 6.0968
Y Cu Tc
1 2 1
direct
0.0000 0.0000 0.0000
0.0000 0.0000 0.5023
0.5000 0.5000 0.2922
0.5000 0.5000 0.7015
```

Properties
Space-group type   P4mm, No. 99
Density of states at the Fermi level   3.51 states/eV/cell
M_tot   0.00 μB per formula unit

***

x.
YCu2Tc: relaxed, PBE-GGA.

Cell and atoms, written as POSCAR:
```
YCu2Tc
1.0
4.9701 -1.5031 0.0000
4.9701 1.5031 0.0000
-1.8885 0.0000 4.3856
Y Cu Tc
1 2 1
direct
0.0000 0.0000 0.0000
0.2334 0.2334 0.7876
0.5191 0.5191 0.5013
0.7760 0.7760 0.3481
```

Properties
Space-group type   Cm, No. 8
Density of states at the Fermi level   2.37 states/eV/cell
M_tot   0.00 μB per formula unit

***

Which of them is the most stable? Correct choice: w.

***

w.
YCu2Tc: relaxed, PBE-GGA.

Cell and atoms, written as POSCAR:
```
YCu2Tc
1.0
1.4499 0.8371 9.1771
-1.4499 0.8371 9.1771
0.0000 -1.6742 9.1771
Y Cu Tc
1 2 1
direct
0.0000 0.0000 0.0000
0.2416 0.2416 0.2416
0.7584 0.7584 0.7584
0.5000 0.5000 0.5000
```

Properties
Space-group type   R-3m, No. 166
Density of states at the Fermi level   5.36 states/eV/cell
M_tot   0.64 μB per formula unit

***

x.
YCu2Tc: relaxed, PBE-GGA.

Cell and atoms, written as POSCAR:
```
YCu2Tc
1.0
3.6876 -2.1271 0.0000
3.6876 2.1271 0.0000
-2.4417 0.0000 4.5788
Y Cu Tc
1 2 1
direct
0.0000 0.0000 0.0000
0.2045 0.2045 0.6142
0.7955 0.7955 0.3858
0.5000 0.5000 0.5000
```

Properties
Space-group type   C2/m, No. 12
Density of states at the Fermi level   3.41 states/eV/cell
M_tot   0.00 μB per formula unit

***

y.
YCu2Tc: relaxed, PBE-GGA.

Cell and atoms, written as POSCAR:
```
YCu2Tc
1.0
0.0000 3.2257 3.2257
3.2257 0.0000 3.2257
3.2257 3.2257 0.0000
Y Cu Tc
1 2 1
direct
0.0000 0.0000 0.0000
0.5000 0.5000 0.5000
0.7500 0.7500 0.7500
0.2500 0.2500 0.2500
```

Properties
Space-group type   F-43m, No. 216
Density of states at the Fermi level   6.12 states/eV/cell
M_tot   1.63 μB per formula unit

***

Which of them is the most stable? Correct choice: x.

***

w.
YCu2Tc: relaxed, PBE-GGA.

Cell and atoms, written as POSCAR:
```
YCu2Tc
1.0
4.1385 0.0000 0.0000
0.0000 4.1385 0.0000
0.0000 0.0000 3.8250
Y Cu Tc
1 2 1
direct
0.0000 0.0000 0.0000
0.0000 0.5000 0.5000
0.5000 0.0000 0.5000
0.5000 0.5000 0.0000
```

Properties
Space-group type   P4/mmm, No. 123
Density of states at the Fermi level   3.33 states/eV/cell
M_tot   0.00 μB per formula unit

***

x.
YCu2Tc: relaxed, PBE-GGA.

Cell and atoms, written as POSCAR:
```
YCu2Tc
1.0
-1.9656 1.9656 4.2633
1.9656 -1.9656 4.2633
1.9656 1.9656 -4.2633
Y Cu Tc
1 2 1
direct
0.0000 0.0000 0.0000
0.2500 0.7500 0.5000
0.5000 0.5000 0.0000
0.7500 0.2500 0.5000
```

Properties
Space-group type   I-4m2, No. 119
Density of states at the Fermi level   2.48 states/eV/cell
M_tot   0.00 μB per formula unit

***

y.
YCu2Tc: relaxed, PBE-GGA.

Cell and atoms, written as POSCAR:
```
YCu2Tc
1.0
3.3656 0.0000 0.0000
0.0000 3.3656 0.0000
0.0000 0.0000 5.8787
Y Cu Tc
1 2 1
direct
0.0000 0.0000 0.0000
0.5000 0.5000 0.2945
0.5000 0.5000 0.7055
0.0000 0.0000 0.5000
```

Properties
Space-group type   P4/mmm, No. 123
Density of states at the Fermi level   4.15 states/eV/cell
M_tot   0.00 μB per formula unit

***

z.
YCu2Tc: relaxed, PBE-GGA.

Cell and atoms, written as POSCAR:
```
YCu2Tc
1.0
-2.0870 2.0870 8.9203
2.0870 -2.0870 8.9203
2.0870 2.0870 -8.9203
Y Cu Tc
2 4 2
direct
0.0000 0.0000 0.0000
0.7500 0.2500 0.5000
0.2391 0.6250 0.1141
0.3750 0.4891 0.6141
0.5109 0.1250 0.8859
0.8750 0.7609 0.3859
0.2500 0.7500 0.5000
0.5000 0.5000 0.0000
```

Properties
Space-group type   I-42d, No. 122
Density of states at the Fermi level   9.61 states/eV/cell
M_tot   0.95 μB per formula unit

***

Which of them is the most stable? Correct choice: w.

***

w.
YCuTc: relaxed, PBE-GGA.

Cell and atoms, written as POSCAR:
```
YCuTc
1.0
0.0000 3.1278 3.1278
3.1278 0.0000 3.1278
3.1278 3.1278 0.0000
Y Cu Tc
1 1 1
direct
0.0000 0.0000 0.0000
0.2500 0.2500 0.2500
0.5000 0.5000 0.5000
```

Properties
Space-group type   F-43m, No. 216
Density of states at the Fermi level   3.38 states/eV/cell
M_tot   1.44 μB per formula unit

***

x.
YCuTc: relaxed, PBE-GGA.

Cell and atoms, written as POSCAR:
```
YCuTc
1.0
-1.6863 1.6863 4.8092
1.6863 -1.6863 4.8092
1.6863 1.6863 -4.8092
Y Cu Tc
1 1 1
direct
0.0000 0.0000 0.0000
0.6996 0.6996 0.0000
0.3040 0.3040 0.0000
```

Properties
Space-group type   I4mm, No. 107
Density of states at the Fermi level   4.01 states/eV/cell
M_tot   0.00 μB per formula unit

***

Which of them is the most stable? Correct choice: x.

***

w.
YCuTc3: relaxed, PBE-GGA.

Cell and atoms, written as POSCAR:
```
YCuTc3
1.0
4.8016 0.0000 0.0000
0.0000 4.8016 0.0000
0.0000 0.0000 4.8016
Y Cu Tc
1 1 3
direct
0.0000 0.0000 0.0000
0.5000 0.5000 0.5000
0.0000 0.0000 0.5000
0.0000 0.5000 0.0000
0.5000 0.0000 0.0000
```

Properties
Space-group type   Pm-3m, No. 221
Density of states at the Fermi level   5.34 states/eV/cell
M_tot   3.51 μB per formula unit

***

x.
YCuTc3: relaxed, PBE-GGA.

Cell and atoms, written as POSCAR:
```
YCuTc3
1.0
4.5636 0.0000 0.0000
0.0000 4.5636 0.0000
0.0000 0.0000 4.5636
Y Cu Tc
1 1 3
direct
0.0000 0.0000 0.0000
0.5000 0.5000 0.5000
0.0000 0.5000 0.5000
0.5000 0.0000 0.5000
0.5000 0.5000 0.0000
```

Properties
Space-group type   Pm-3m, No. 221
Density of states at the Fermi level   8.14 states/eV/cell
M_tot   0.00 μB per formula unit

***

Which of them is the most stable? Correct choice: x.

***

w.
ZnCuTc3: relaxed, PBE-GGA.

Cell and atoms, written as POSCAR:
```
ZnCuTc3
1.0
4.4766 0.0000 0.0000
0.0000 4.4766 0.0000
0.0000 0.0000 4.4766
Zn Cu Tc
1 1 3
direct
0.0000 0.0000 0.0000
0.5000 0.5000 0.5000
0.0000 0.0000 0.5000
0.0000 0.5000 0.0000
0.5000 0.0000 0.0000
```

Properties
Space-group type   Pm-3m, No. 221
Density of states at the Fermi level   7.49 states/eV/cell
M_tot   0.00 μB per formula unit

***

x.
ZnCuTc3: relaxed, PBE-GGA.

Cell and atoms, written as POSCAR:
```
ZnCuTc3
1.0
4.4636 0.0000 0.0000
0.0000 4.4636 0.0000
0.0000 0.0000 4.4636
Zn Cu Tc
1 1 3
direct
0.0000 0.0000 0.0000
0.5000 0.5000 0.5000
0.0000 0.5000 0.5000
0.5000 0.0000 0.5000
0.5000 0.5000 0.0000
```

Properties
Space-group type   Pm-3m, No. 221
Density of states at the Fermi level   9.97 states/eV/cell
M_tot   1.85 μB per formula unit

***

Which of them is the most stable? Correct choice: x.

***

w.
ZrCu2Tc: relaxed, PBE-GGA.

Cell and atoms, written as POSCAR:
```
ZrCu2Tc
1.0
1.7838 -2.1166 0.0000
1.7838 2.1166 0.0000
0.0000 0.0000 8.0357
Zr Cu Tc
1 2 1
direct
0.0000 0.0000 0.0000
0.0000 0.0000 0.5157
0.5000 0.5000 0.7284
0.5000 0.5000 0.2835
```

Properties
Space-group type   Cmm2, No. 35
Density of states at the Fermi level   1.86 states/eV/cell
M_tot   0.00 μB per formula unit

***

x.
ZrCu2Tc: relaxed, PBE-GGA.

Cell and atoms, written as POSCAR:
```
ZrCu2Tc
1.0
1.3865 0.8005 9.2500
-1.3865 0.8005 9.2500
0.0000 -1.6010 9.2500
Zr Cu Tc
1 2 1
direct
0.0000 0.0000 0.0000
0.2443 0.2443 0.2443
0.7557 0.7557 0.7557
0.5000 0.5000 0.5000
```

Properties
Space-group type   R-3m, No. 166
Density of states at the Fermi level   5.24 states/eV/cell
M_tot   0.53 μB per formula unit

***

y.
ZrCu2Tc: relaxed, PBE-GGA.

Cell and atoms, written as POSCAR:
```
ZrCu2Tc
1.0
-1.9371 1.9371 4.0698
1.9371 -1.9371 4.0698
1.9371 1.9371 -4.0698
Zr Cu Tc
1 2 1
direct
0.0000 0.0000 0.0000
0.2500 0.7500 0.5000
0.5000 0.5000 0.0000
0.7500 0.2500 0.5000
```

Properties
Space-group type   I-4m2, No. 119
Density of states at the Fermi level   3.12 states/eV/cell
M_tot   0.69 μB per formula unit

***

Which of them is the most stable? Correct choice: y.

***

w.
ZrCu2Tc: relaxed, PBE-GGA.

Cell and atoms, written as POSCAR:
```
ZrCu2Tc
1.0
0.0000 3.1418 3.1418
3.1418 0.0000 3.1418
3.1418 3.1418 0.0000
Zr Cu Tc
1 2 1
direct
0.0000 0.0000 0.0000
0.5000 0.5000 0.5000
0.7500 0.7500 0.7500
0.2500 0.2500 0.2500
```

Properties
Space-group type   F-43m, No. 216
Density of states at the Fermi level   6.96 states/eV/cell
M_tot   0.67 μB per formula unit

***

x.
ZrCu2Tc: relaxed, PBE-GGA.

Cell and atoms, written as POSCAR:
```
ZrCu2Tc
1.0
2.7098 0.0000 0.0000
0.0000 4.3541 0.0000
-0.6642 0.0000 5.0992
Zr Cu Tc
1 2 1
direct
0.0000 0.0000 0.0000
0.5846 0.5000 0.2368
0.6075 0.0000 0.4930
0.2182 0.5000 0.6912
```

Properties
Space-group type   Pm, No. 6
Density of states at the Fermi level   2.20 states/eV/cell
M_tot   0.00 μB per formula unit

***

Which of them is the most stable? Correct choice: x.